Record 1
Here is crystalline Be4AlSe at its relaxed geometry from Alexandria via LeMat-Bulk. Energies are from GGA-PBE.

Unit cell a=4.6292 b=4.6292 c=4.6292 alpha=60.00 beta=60.00 gamma=60.00
Positions (direct):
Be 0.8832 0.3723 0.3723
Be 0.3723 0.3723 0.3723
Be 0.3723 0.8832 0.3723
Be 0.3723 0.3723 0.8832
Al 0.0000 0.0000 0.0000
Se 0.7500 0.7500 0.7500

Results
As for the space group: No. 216. The value obtained for the volume is 70.1 Å³/cell. As for the uncorrected formation energy: 373.9 meV/atom. For the total moment, the calculation gives 0.00 μB/cell.

Record 2
Here is crystalline ZrScZn17 at its relaxed geometry from Alexandria via LeMat-Bulk. Energies are from GGA-PBE.

Unit cell a=6.6938 b=6.6938 c=6.6938 alpha=82.58 beta=82.58 gamma=82.58
Positions (direct):
Zn 0.3031 0.6968 0.9995
Zn 0.6968 0.3031 0.9995
Zn 0.6426 0.6426 0.1701
Zn 0.8431 0.3522 0.3522
Zn 0.1020 0.1020 0.1020
Zn 0.3522 0.8431 0.3522
Zn 0.9976 0.5030 0.9976
Zn 0.1701 0.6426 0.6426
Zn 0.9995 0.3031 0.6968
Zn 0.3522 0.3522 0.8431
Zn 0.9995 0.6968 0.3031
Zn 0.9001 0.9001 0.9001
Zn 0.9976 0.9976 0.5030
Zn 0.3031 0.9995 0.6968
Zn 0.6426 0.1701 0.6426
Zn 0.5030 0.9976 0.9976
Zn 0.6968 0.9995 0.3031
Sc 0.6659 0.6659 0.6659
Zr 0.3320 0.3320 0.3320

Results
As for the space group: No. 160. The value obtained for the volume is 293.0 Å³/cell. Its formation energy is -149 meV per atom. For the total moment, the calculation gives 0.00 μB/cell.

Record 3
Here is crystalline Y2Er5Th4 at its relaxed geometry from Alexandria via LeMat-Bulk. Energies are from GGA-PBE.

Unit cell a=6.6290 b=8.9731 c=10.2533 alpha=39.19 beta=71.14 gamma=68.32
Positions (direct):
Y 0.1961 0.9311 0.6767
Y 0.8039 0.0689 0.3233
Th 0.4070 0.7793 0.4068
Th 0.2490 0.3433 0.1587
Th 0.5930 0.2207 0.5932
Th 0.7510 0.6567 0.8413
Er 0.8258 0.7325 0.0963
Er 0.1742 0.2675 0.9037
Er 0.3454 0.7325 0.0963
Er 0.0000 0.5000 0.5000
Er 0.6546 0.2675 0.9037

Results
As for the space group: No. 12. The value obtained for the volume is 357.5 Å³/cell. As for the energy above the most stable polymorph in this dataset: 167 meV per atom. Its formation energy is 192 meV per atom. For the total moment, the calculation gives 0.00 μB/cell.

Record 4
Here is crystalline HoCu6Ge4 at its relaxed geometry from Alexandria via LeMat-Bulk. Energies are from GGA-PBE.

Unit cell a=3.9722 b=6.9927 c=6.9927 alpha=120.00 beta=90.00 gamma=90.00
Positions (direct):
Ge 0.5000 0.3820 0.1910
Ge 0.5000 0.8090 0.6180
Ge 0.0000 0.3333 0.6667
Ge 0.5000 0.8090 0.1910
Cu 0.5000 0.5854 0.7927
Cu 0.5000 0.2073 0.4146
Cu 0.0000 0.9199 0.4600
Cu 0.0000 0.5400 0.4600
Cu 0.5000 0.2073 0.7927
Cu 0.0000 0.5400 0.0801
Ho 0.0000 0.0000 0.0000

Results
As for the space group: No. 187. The value obtained for the volume is 168.2 Å³/cell. Its formation energy is -144 meV per atom. For the total moment, the calculation gives 0.00 μB/cell.

Record 5
Here is crystalline Rb3PmHo2S6 at its relaxed geometry from Alexandria via LeMat-Bulk. Energies are from GGA-PBE.

Unit cell a=7.1115 b=7.1115 c=8.0528 alpha=98.47 beta=98.47 gamma=120.00
Positions (direct):
S 0.9357 0.5948 0.8072
S 0.5948 0.9357 0.8072
S 0.7232 0.7232 0.1925
S 0.4052 0.0643 0.1928
S 0.0643 0.4052 0.1928
S 0.2768 0.2768 0.8075
Pm 0.0000 0.0000 0.0000
Rb 0.1657 0.8343 0.5000
Rb 0.5000 0.5000 0.5000
Rb 0.8343 0.1657 0.5000
Ho 0.3333 0.6667 0.0000
Ho 0.6667 0.3333 0.0000

Results
As for the space group: No. 12. The value obtained for the volume is 337.1 Å³/cell. As for the uncorrected formation energy: -1846.1 meV/atom. For the total moment, the calculation gives 0.00 μB/cell.